NiSb3Rh: relaxed, PBE.

Cell: 5.0935 5.0935 5.0935 Å, 90.00 90.00 90.00°
With the nearest neighbours (Å) after each atom.
Atoms (fractional coordinates):
Sb 0.0000 0.0000 0.5000  2 Rh 2.55
Sb 0.0000 0.5000 0.0000  2 Rh 2.55
Sb 0.5000 0.0000 0.0000  2 Rh 2.55
Ni 0.5000 0.5000 0.5000  12 Sb 3.60
Rh 0.0000 0.0000 0.0000  6 Sb 2.55

Summary:
uncorrected formation energy: 0.686 eV/atom
offset from the most stable computed form: 162.8 meV/atom
space group: Pm-3m
total moment: 0.00 μB per cell